1.
DFT (PBE+U) results for a relaxed MgFe3Co5O16 crystal.

Geometry as POSCAR:
```
MgFe3Co5O16
1.0
5.6517 -0.0103 -0.0117
-2.7452 -4.9378 -0.0601
-0.3345 0.0505 -8.9103
Fe Mg O Co
3 1 16 5
direct
0.6567 0.8196 0.1999 Fe
0.8364 0.6693 0.7154 Fe
0.8350 0.1701 0.7374 Fe
0.8302 0.1743 0.4436 Mg
0.4856 0.5097 0.3236 O
0.5183 0.0460 0.8515 O
0.3245 0.6672 0.0934 O
0.6804 0.8516 0.5983 O
0.1549 0.3263 0.6028 O
0.0491 0.5150 0.3316 O
0.6701 0.3276 0.6080 O
0.8282 0.1714 0.0993 O
0.3227 0.1672 0.0947 O
0.4823 0.9566 0.3332 O
0.0129 0.9990 0.8266 O
0.9570 0.4838 0.8549 O
0.1726 0.8413 0.6123 O
0.5139 0.4772 0.8370 O
0.8298 0.6659 0.0925 O
0.0001 0.0018 0.3098 O
0.1667 0.8293 0.2031 Co
0.1757 0.3347 0.1962 Co
0.6615 0.3414 0.9902 Co
0.3325 0.1634 0.7132 Co
0.3362 0.6675 0.4848 Co
```

## Properties
Calculated volume = 249 Å³/f.u.
ρ = 4.95 g cm⁻³
Crystal system = triclinic
SG = P1

2.
DFT (PBE+U) results for a relaxed MgFe3Co5O16 crystal.

Geometry as POSCAR:
```
MgFe3Co5O16
1.0
-3.4410 4.0273 2.0302
0.6578 -4.8300 3.0138
6.9370 3.5897 4.2457
Fe O Co Mg
3 16 5 1
direct
0.1569 0.8325 0.7025 Fe
0.6528 0.8242 0.7003 Fe
0.8376 0.6715 0.2094 Fe
0.3258 0.6563 0.5934 O
0.4864 0.9509 0.8414 O
0.0476 0.5123 0.8431 O
0.6814 0.8535 0.0975 O
0.5081 0.4598 0.3380 O
0.4761 0.5166 0.8318 O
0.9521 0.4694 0.3539 O
0.6703 0.3110 0.1091 O
0.1853 0.8381 0.1070 O
0.0167 0.0129 0.3216 O
0.8270 0.1790 0.6032 O
0.8160 0.6667 0.5900 O
0.5232 0.0422 0.3477 O
0.1634 0.3264 0.1039 O
0.9922 0.0112 0.8108 O
0.3368 0.1827 0.5970 O
0.6544 0.3354 0.4851 Co
0.3359 0.1570 0.2104 Co
0.3428 0.6662 0.9843 Co
0.8424 0.1754 0.2366 Co
0.1692 0.3401 0.6998 Co
0.8329 0.1753 0.9507 Mg
```

## Properties
Calculated volume = 254 Å³/f.u.
ρ = 4.86 g cm⁻³
Crystal system = triclinic
SG = P1

3.
DFT (PBE+U) results for a relaxed MgFe3Co5O16 crystal.

Geometry as POSCAR:
```
MgFe3Co5O16
1.0
-4.9687 -2.4872 -1.5547
-1.2620 -0.8701 -5.5625
3.7260 -7.9615 0.2337
O Co Fe Mg
16 5 3 1
direct
0.6644 0.1821 0.9011 O
0.1821 0.6644 0.9011 O
0.0032 0.0032 0.1916 O
0.9509 0.5061 0.6515 O
0.0120 0.0120 0.6831 O
0.5229 0.5229 0.6694 O
0.1700 0.1700 0.8955 O
0.4760 0.4760 0.1662 O
0.5061 0.9509 0.6515 O
0.0469 0.4764 0.1690 O
0.8357 0.8357 0.4082 O
0.6678 0.6678 0.9021 O
0.3282 0.3282 0.4073 O
0.4764 0.0469 0.1690 O
0.8311 0.3385 0.3962 O
0.3385 0.8311 0.3962 O
0.8362 0.3345 0.7949 Co
0.1660 0.1660 0.3011 Co
0.3345 0.8362 0.7949 Co
0.6634 0.6634 0.5267 Co
0.3402 0.3402 0.0143 Co
0.8403 0.8403 0.7838 Fe
0.6654 0.1649 0.3005 Fe
0.1649 0.6654 0.3005 Fe
0.6655 0.6655 0.1220 Mg
```

## Properties
Calculated volume = 251 Å³/f.u.
ρ = 4.91 g cm⁻³
Crystal system = monoclinic
SG = Cm

4.
DFT (PBE+U) results for a relaxed MgFe3Co5O16 crystal.

Geometry as POSCAR:
```
MgFe3Co5O16
1.0
3.0193 -3.3136 -3.6034
4.0680 2.3604 -3.3108
6.0581 -1.4433 6.2767
O Co Mg Fe
16 5 1 3
direct
0.1498 0.6641 0.6193 O
0.8144 0.3294 0.0970 O
0.9883 0.9883 0.8322 O
0.5196 0.9462 0.8508 O
0.9462 0.5196 0.8508 O
0.6597 0.6597 0.6135 O
0.5155 0.5155 0.8526 O
0.4817 0.0383 0.3395 O
0.3294 0.8144 0.0970 O
0.9830 0.9830 0.3095 O
0.1522 0.1522 0.6117 O
0.3369 0.3369 0.0991 O
0.0383 0.4817 0.3395 O
0.6641 0.1498 0.6193 O
0.4746 0.4746 0.3325 O
0.8213 0.8213 0.1033 O
0.3283 0.3283 0.5034 Co
0.1634 0.6535 0.2052 Co
0.8255 0.8255 0.7243 Co
0.6535 0.1634 0.2052 Co
0.6579 0.6579 0.9939 Co
0.6645 0.6645 0.3892 Mg
0.8272 0.3216 0.7263 Fe
0.1586 0.1586 0.2017 Fe
0.3216 0.8272 0.7263 Fe
```

## Properties
Calculated volume = 254 Å³/f.u.
ρ = 4.85 g cm⁻³
Crystal system = monoclinic
SG = Cm

2 has the most favorable energy; the next structure is 0.9 kJ/mol of atoms above.